## BaAsPdAu (PBE)

Data for crystalline BaAsPdAu at its relaxed geometry.

Calculated values
E above lowest polymorph: 0.8 kJ per mole of atoms

POSCAR file:
```
BaAsPdAu
1.0
0.0000 3.6220 3.6220
3.6220 0.0000 3.6220
3.6220 3.6220 0.0000
Ba As Pd Au
1 1 1 1
direct
0.0000 0.0000 0.0000
0.5000 0.5000 0.5000
0.7500 0.7500 0.7500
0.2500 0.2500 0.2500
```